DFT (PBE) results for a geometry-optimized Pd2Se2Cl structure.

Values from the calculation:
- raw formation energy (meV per atom) = 7
- ΔE to the lowest computed polymorph (meV per atom) = 325

Cell: 7.5838 7.5838 3.1849 Å, 90.00 90.00 90.00°
With the nearest neighbours (Å) after each atom.
Fractional positions:
Pd 0.1493 0.3507 0.0000  6 Se 2.73-2.75, 2 Cl 2.89
Pd 0.3507 0.8507 0.0000  6 Se 2.73-2.75, 2 Cl 2.89
Pd 0.6493 0.1493 0.0000  6 Se 2.73-2.75, 2 Cl 2.89
Pd 0.8507 0.6493 0.0000  6 Se 2.73-2.75, 2 Cl 2.89
Se 0.1422 0.6422 0.5000  6 Pd 2.73-2.75, 1 Se 3.05
Se 0.3578 0.1422 0.5000  6 Pd 2.73-2.75, 1 Se 3.05
Se 0.6422 0.8578 0.5000  6 Pd 2.73-2.75, 1 Se 3.05
Se 0.8578 0.3578 0.5000  6 Pd 2.73-2.75, 1 Se 3.05
Cl 0.0000 0.0000 0.0000  4 Pd 2.89, 2 Cl 3.18
Cl 0.5000 0.5000 0.0000  4 Pd 2.89, 2 Cl 3.18